Below is Er3ScSb2 after structural relaxation, with properties calculated at the GGA-PBE level.

Its space-group type is P-4m2 (115). The calculation puts the uncorrected formation energy at -0.798 eV/atom. The magnetization comes out at 0.44 μB per formula unit. The value obtained for the density of states at the Fermi level is 4.73 states/eV/f.u.

The structure in CIF format:
```
data_Er3ScSb2
_cell_length_a 4.3856
_cell_length_b 4.3856
_cell_length_c 8.2638
_cell_angle_alpha 90.00
_cell_angle_beta 90.00
_cell_angle_gamma 90.00
_space_group_name_H-M_alt 'P 1'
_space_group_IT_number 1
_space_group_name_Hall 'P 1'
loop_
_atom_site_label
_atom_site_type_symbol
_atom_site_fract_x
_atom_site_fract_y
_atom_site_fract_z
_atom_site_occupancy
Er1 Er 0.0000 0.0000 0.0000 1
Er2 Er 0.0000 0.5000 0.6521 1
Er3 Er 0.5000 0.0000 0.3479 1
Sc1 Sc 0.5000 0.5000 0.0000 1
Sb1 Sb 0.0000 0.5000 0.2762 1
Sb2 Sb 0.5000 0.0000 0.7238 1
```